DFT (PBE) results for crystalline ZnCd3Sb at its relaxed geometry.

The calculation puts the formation energy from raw total energies at 0.349 eV per atom. As for the density of states at the Fermi level: 3.444 states/eV/cell.

abc: 5.105 5.105 5.105
angles: 90.00 90.00 90.00
Element x y z (fractional)
Sb1 0.500 0.500 0.500
Cd1 0.000 0.500 0.000
Cd2 0.500 0.000 0.000
Cd3 0.000 0.000 0.500
Zn1 0.000 0.000 0.000